# ScBe2Co (GGA-PBE, relaxed)
# Offset from the most stable computed form ... 19.8 meV per atom
# DFT formation energy ... -182 meV per atom
# Total moment ... 0.000 μB/f.u.
# Uncorrected energy ... -5.40 eV/atom
# Density of states at the Fermi level ... 5.5 states/eV per cell
data_ScBe2Co
_chemical_formula_sum 'Sc3 Be6 Co3'
_symmetry_space_group_name_H-M 'R 3 m'
_symmetry_Int_Tables_number 160
_symmetry_space_group_name_Hall 'R 3 -2"'
_cell_length_a 3.7193
_cell_length_b 3.7193
_cell_length_c 13.0337
_cell_angle_alpha 90.00
_cell_angle_beta 90.00
_cell_angle_gamma 120.00
loop_
_atom_site_label
_atom_site_fract_x
_atom_site_fract_y
_atom_site_fract_z
Sc1 0.0000 0.0000 0.0000
Be1 0.0000 0.0000 0.1918
Be2 0.0000 0.0000 0.4954
Co1 0.0000 0.0000 0.8043